A plane-wave DFT calculation with PBE was carried out for a relaxed structure of BaAuOF2.

CIF file:
```
data_BaAuOF2
_space_group_name_H-M_alt 'P 1'
_space_group_IT_number 1
_cell_length_a 5.025
_cell_length_b 5.025
_cell_length_c 4.571
_cell_angle_alpha 90.00
_cell_angle_beta 90.00
_cell_angle_gamma 90.00
loop_
_space_group_symop_operation_xyz
'x,y,z'
loop_
_atom_site_label
_atom_site_type_symbol
_atom_site_fract_x
_atom_site_fract_y
_atom_site_fract_z
_atom_site_occupancy
Ba1 Ba 0.000 0.000 0.000 1
Au1 Au 0.500 0.500 0.500 1
O1 O 0.000 0.000 0.500 1
F1 F 0.000 0.500 0.000 1
F2 F 0.500 0.000 0.000 1
```

Its density is 5.6 g cm⁻³. The energy relative to the elements, uncorrected comes out at -1162 meV/atom.



A plane-wave DFT calculation with PBE was carried out for a relaxed structure of BaOsAu2F.

CIF file:
```
data_BaOsAu2F
_space_group_name_H-M_alt 'P 1'
_space_group_IT_number 1
_cell_length_a 5.257
_cell_length_b 5.257
_cell_length_c 4.233
_cell_angle_alpha 90.00
_cell_angle_beta 90.00
_cell_angle_gamma 90.00
loop_
_space_group_symop_operation_xyz
'x,y,z'
loop_
_atom_site_label
_atom_site_type_symbol
_atom_site_fract_x
_atom_site_fract_y
_atom_site_fract_z
_atom_site_occupancy
Ba1 Ba 0.000 0.000 0.000 1
Os1 Os 0.500 0.500 0.500 1
Au1 Au 0.000 0.500 0.500 1
Au2 Au 0.500 0.000 0.500 1
F1 F 0.500 0.500 0.000 1
```

Its density is 10.5 g cm⁻³. The energy relative to the elements, uncorrected comes out at -294 meV/atom.



A plane-wave DFT calculation with PBE was carried out for a relaxed structure of BaTlPbAuF.

CIF file:
```
data_BaTlPbAuF
_space_group_name_H-M_alt 'P 1'
_space_group_IT_number 1
_cell_length_a 4.483
_cell_length_b 4.483
_cell_length_c 9.351
_cell_angle_alpha 103.99
_cell_angle_beta 103.99
_cell_angle_gamma 60.15
loop_
_space_group_symop_operation_xyz
'x,y,z'
loop_
_atom_site_label
_atom_site_type_symbol
_atom_site_fract_x
_atom_site_fract_y
_atom_site_fract_z
_atom_site_occupancy
Ba1 Ba 0.000 0.000 0.000 1
Tl1 Tl 0.450 0.450 0.360 1
Pb1 Pb 0.859 0.859 0.585 1
Au1 Au 0.237 0.237 0.715 1
F1 F 0.679 0.679 0.038 1
```

Its density is 8.1 g cm⁻³. The energy relative to the elements, uncorrected comes out at -1164 meV/atom.